Compound: Ni4Ir
Source: the Alexandria database
Functional: PBEsol
Structure: optimized geometry

Values from the calculation:
- Size of the total moment: 1.43 μB per formula unit
- Formation enthalpy at 0 K: 8 meV/atom

```
data_Ni4Ir
_cell_length_a 5.606
_cell_length_b 5.606
_cell_length_c 3.539
_cell_angle_alpha 90.00
_cell_angle_beta 90.00
_cell_angle_gamma 90.00
_space_group_name_H-M_alt 'I 4/m'
_space_group_IT_number 87
_space_group_name_Hall '-I 4'
loop_
_atom_site_label
_atom_site_fract_x
_atom_site_fract_y
_atom_site_fract_z
Ni1 0.101 0.699 0.000
Ir1 0.000 0.000 0.500
```